Entry 1:
Entry from the Open Quantum Materials Database: a relaxed LiPmTe2 crystal (PBE).

Values from the calculation:
magnetic moment: 0.006 μB/f.u.
total energy: -4.537 eV/atom
crystal system: trigonal

Lattice parameters (Å, degrees): 4.4241 4.4241 21.2005 90.00 90.00 120.00
With the nearest neighbours (Å) after each atom.
Space group R-3m (No. 166, hexagonal axes)
Inequivalent atoms, fractional coordinates:
Li  0.0000  0.0000  0.0000 [3 per cell]  6 Te 3.06
Pm  0.0000  0.0000  0.5000 [3 per cell]  6 Te 3.15
Te  0.0000  0.0000  0.2536 [6 per cell]  3 Li 3.06, 3 Pm 3.15

Entry 2:
Entry from the Open Quantum Materials Database: a relaxed LaLuBi crystal (PBE).

Values from the calculation:
magnetic moment: 0.676 μB/f.u.
total energy: -4.301 eV/atom
crystal system: cubic

Lattice parameters (Å, degrees): 7.6617 7.6617 7.6617 90.00 90.00 90.00
With the nearest neighbours (Å) after each atom.
Space group F-43m (No. 216)
Inequivalent atoms, fractional coordinates:
La  0.0000  0.0000  0.0000 [4 per cell]  4 Bi 3.32, 4 Lu 3.32
Lu  0.2500  0.2500  0.2500 [4 per cell]  4 La 3.32
Bi  0.2500  0.2500  0.7500 [4 per cell]  4 La 3.32

Entry 3:
Entry from the Open Quantum Materials Database: a relaxed SnPd2Pb crystal (PBE).

Values from the calculation:
ΔE to the lowest computed polymorph: 138.7 meV/atom
crystal system: tetragonal

Lattice parameters (Å, degrees): 4.8246 4.8246 6.8106 90.00 90.00 90.00
With the nearest neighbours (Å) after each atom.
Space group I4/mmm (No. 139)
Inequivalent atoms, fractional coordinates:
Sn  0.0000  0.0000  0.0000 [2 per cell]  8 Pd 2.95
Pd  0.0000  0.5000  0.2500 [4 per cell]  4 Pb 2.95, 4 Sn 2.95
Pb  0.0000  0.0000  0.5000 [2 per cell]  8 Pd 2.95

Entry 4:
Entry from the Open Quantum Materials Database: a relaxed InMoAuSeS2 crystal (PBE).

Values from the calculation:
magnetic moment: 0.011 μB/f.u.
total energy: -5.046 eV/atom
crystal system: orthorhombic

Lattice parameters (Å, degrees): 3.3607 15.8659 9.7812 90.00 90.00 90.00
With the nearest neighbours (Å) after each atom.
Space group Cmcm (No. 63)
Inequivalent atoms, fractional coordinates:
In  0.0000  0.1798  0.2500 [4 per cell]  2 Au 2.79, 2 Se 2.85, 2 S 2.91
Mo  0.0000  0.5000  0.0000 [4 per cell]  4 S 2.45, 2 Se 2.51
Au  0.0000  0.1802  0.7500 [4 per cell]  2 S 2.45
Se  0.0000  0.4655  0.7500 [4 per cell]  2 Mo 2.51
S  0.0000  0.1116  0.5258 [8 per cell]  1 Au 2.45, 2 Mo 2.45

Entry 5:
Entry from the Open Quantum Materials Database: a relaxed Li2CdPb crystal (PBE).

Values from the calculation:
ΔE to the lowest computed polymorph: 0.0 meV/atom
crystal system: tetragonal

Lattice parameters (Å, degrees): 4.7906 4.7906 6.8294 90.00 90.00 90.00
With the nearest neighbours (Å) after each atom.
Space group I4/mmm (No. 139)
Inequivalent atoms, fractional coordinates:
Li  0.0000  0.5000  0.2500 [4 per cell]  4 Cd 2.94, 4 Pb 2.94
Cd  0.0000  0.0000  0.0000 [2 per cell]  8 Li 2.94
Pb  0.0000  0.0000  0.5000 [2 per cell]  8 Li 2.94

Entry 6:
Entry from the Open Quantum Materials Database: a relaxed LaHoFe2Ge4 crystal (PBE).

Values from the calculation:
magnetic moment: 1.682 μB/f.u.
total energy: -6.063 eV/atom
crystal system: orthorhombic

Lattice parameters (Å, degrees): 4.2391 4.2278 16.7560 90.00 90.00 90.00
With the nearest neighbours (Å) after each atom.
Space group Amm2 (No. 38)
Inequivalent atoms, fractional coordinates:
La  0.0000  0.0000  0.0000 [2 per cell]  10 Ge 3.18-3.34, 5 Fe 3.24-3.53
Ho  0.5000  0.0000  0.2181 [2 per cell]  10 Ge 3.12-3.33, 5 Fe 3.22-3.48
Fe  0.0000  0.0000  0.7894 [2 per cell]  5 Ge 2.26-2.39
Fe  0.5000  0.0000  0.4258 [2 per cell]  5 Ge 2.33-2.43
Ge  0.0000  0.0000  0.3556 [2 per cell]  4 Fe 2.39-2.42
Ge  0.0000  0.0000  0.6547 [2 per cell]  1 Fe 2.26
Ge  0.5000  0.0000  0.5647 [2 per cell]  1 Fe 2.33, 2 Ge 2.60
Ge  0.5000  0.0000  0.8547 [2 per cell]  4 Fe 2.39-2.43

Entry 7:
Entry from the Open Quantum Materials Database: a relaxed Tb2Sb2IrOsO2 crystal (PBE).

Values from the calculation:
magnetic moment: 0.003 μB/f.u.
total energy: -7.509 eV/atom
crystal system: tetragonal

Lattice parameters (Å, degrees): 4.1859 4.1859 8.3828 90.00 90.00 90.00
With the nearest neighbours (Å) after each atom.
Space group P-4m2 (No. 115)
Inequivalent atoms, fractional coordinates:
Tb  0.0000  0.5000  0.1191 [2 per cell]  4 O 2.32
Sb  0.0000  0.5000  0.6830 [2 per cell]  2 Os 2.60, 2 Ir 2.60
Ir  0.0000  0.0000  0.5000 [1 per cell]  4 Sb 2.60
Os  0.5000  0.5000  0.5000 [1 per cell]  4 Sb 2.60
O  0.0000  0.0000  0.0000 [1 per cell]  4 Tb 2.32
O  0.5000  0.5000  0.0000 [1 per cell]  4 Tb 2.32

Entry 8:
Entry from the Open Quantum Materials Database: a relaxed PrAl5CuPd crystal (PBE).

Values from the calculation:
magnetic moment: 0.005 μB/f.u.
total energy: -4.583 eV/atom
crystal system: orthorhombic

Lattice parameters (Å, degrees): 4.0621 7.2502 9.8185 90.00 90.00 90.00
With the nearest neighbours (Å) after each atom.
Space group Imm2 (No. 44)
Inequivalent atoms, fractional coordinates:
Pr  0.0000  0.0000  0.0000 [2 per cell]  2 Cu 3.14, 2 Pd 3.30, 8 Al 3.34-3.41
Al  0.0000  0.1877  0.6570 [4 per cell]  1 Pd 2.50, 2 Cu 2.63, 1 Al 2.72
Al  0.0000  0.1895  0.3565 [4 per cell]  1 Cu 2.46, 2 Pd 2.61, 1 Al 2.75
Al  0.0000  0.5000  0.0129 [2 per cell]  1 Cu 2.39, 1 Pd 2.43
Cu  0.0000  0.5000  0.2559 [2 per cell]  7 Al 2.39-2.63
Pd  0.0000  0.5000  0.7653 [2 per cell]  7 Al 2.43-2.61

Entry 9:
Entry from the Open Quantum Materials Database: a relaxed PrEr2Bi3 crystal (PBE).

Values from the calculation:
magnetic moment: 0.003 μB/f.u.
total energy: -5.214 eV/atom
crystal system: trigonal

Lattice parameters (Å, degrees): 4.4928 4.4928 11.0169 90.00 90.00 120.00
With the nearest neighbours (Å) after each atom.
Space group P-3m1 (No. 164)
Inequivalent atoms, fractional coordinates:
Pr  0.0000  0.0000  0.0000 [1 per cell]  6 Bi 3.25
Er  0.3333  0.6667  0.3382 [2 per cell]  6 Bi 3.14-3.15
Bi  0.0000  0.0000  0.5000 [1 per cell]  6 Er 3.15
Bi  0.3333  0.6667  0.8225 [2 per cell]  3 Er 3.14, 3 Pr 3.25

Entry 10:
Entry from the Open Quantum Materials Database: a relaxed Li2AgGe crystal (PBE).

Values from the calculation:
total energy: -3.143 eV/atom
crystal system: trigonal

Lattice parameters (Å, degrees): 4.4606 4.4606 42.8922 90.00 90.00 120.00
With the nearest neighbours (Å) after each atom.
Space group R-3m (No. 166, hexagonal axes)
Inequivalent atoms, fractional coordinates:
Li  0.0000  0.0000  0.0929 [6 per cell]  4 Li 2.64-2.75, 4 Ge 2.71-2.77
Li  0.0000  0.0000  0.1546 [6 per cell]  4 Li 2.64-2.78, 1 Ge 2.67, 3 Ag 2.75
Li  0.0000  0.0000  0.3421 [6 per cell]  4 Li 2.65-2.68, 1 Ag 2.65, 3 Ge 2.73
Li  0.0000  0.0000  0.4037 [6 per cell]  4 Ag 2.64-2.68, 4 Li 2.65-2.75
Ag  0.0000  0.0000  0.2803 [6 per cell]  4 Li 2.65-2.68, 4 Ge 2.72-2.76
Ag  0.0000  0.0000  0.4652 [6 per cell]  4 Li 2.64-2.75, 3 Ge 2.66
Ge  0.0000  0.0000  0.0297 [6 per cell]  1 Ge 2.55, 4 Li 2.71-2.73, 3 Ag 2.76
Ge  0.0000  0.0000  0.2168 [6 per cell]  4 Ag 2.66-2.72, 4 Li 2.67-2.77

Entry 11:
Entry from the Open Quantum Materials Database: a relaxed PuP2 crystal (PBE).

Values from the calculation:
magnetic moment: 1.997 μB/f.u.
total energy: -7.478 eV/atom
crystal system: cubic

Lattice parameters (Å, degrees): 11.9484 11.9484 11.9484 90.00 90.00 90.00
With the nearest neighbours (Å) after each atom.
Space group Fd-3m (No. 227, origin choice 2)
Inequivalent atoms, fractional coordinates:
Pu  0.1250  0.1250  0.1250 [8 per cell]  4 P 2.59
P  0.0000  0.0000  0.0000 [16 per cell]  2 Pu 2.59

Entry 12:
Entry from the Open Quantum Materials Database: a relaxed Zr6CdAu crystal (PBE).

Values from the calculation:
magnetic moment: 0.103 μB/f.u.
energy of formation: -21 kJ/mol of atoms
crystal system: cubic

Lattice parameters (Å, degrees): 5.5694 5.5694 5.5694 90.00 90.00 90.00
With the nearest neighbours (Å) after each atom.
Space group Pm-3 (No. 200)
Inequivalent atoms, fractional coordinates:
Zr  0.0000  0.2471  0.5000 [6 per cell]  2 Zr 2.75-2.82
Cd  0.5000  0.5000  0.5000 [1 per cell]  12 Zr 3.12
Au  0.0000  0.0000  0.0000 [1 per cell]  12 Zr 3.11

Entry 13:
Entry from the Open Quantum Materials Database: a relaxed Nd2Sc2CI3Br2 crystal (PBE).

Values from the calculation:
magnetic moment: 0.108 μB/f.u.
ΔE to the lowest computed polymorph: 48.1 meV/atom
crystal system: monoclinic

Lattice parameters (Å, degrees): 18.4231 3.8799 8.3534 90.00 102.62 90.00
With the nearest neighbours (Å) after each atom.
Space group C2/m (No. 12)
Inequivalent atoms, fractional coordinates:
Nd  0.1376  0.0000  0.0722 [4 per cell]  1 C 2.47
Sc  0.9997  0.5000  0.1790 [4 per cell]  2 C 2.45
C  0.0000  0.0000  0.0000 [2 per cell]  4 Sc 2.45, 2 Nd 2.47
I  0.0000  0.0000  0.5000 [2 per cell]  4 Sc 3.31
I  0.1654  0.5000  0.7964 [4 per cell]  1 Sc 3.09, 2 Nd 3.14
Br  0.1494  0.5000  0.3396 [4 per cell]  1 Sc 2.79, 2 Nd 2.93

Entry 14:
Entry from the Open Quantum Materials Database: a relaxed GdYIr2 crystal (PBE).

Values from the calculation:
magnetic moment: 0.008 μB/f.u.
energy of formation: -69 kJ/mol of atoms
crystal system: monoclinic

Lattice parameters (Å, degrees): 5.6244 4.2148 7.4457 90.00 90.21 90.00
With the nearest neighbours (Å) after each atom.
Space group P2_1/m (No. 11)
Inequivalent atoms, fractional coordinates:
Gd  0.1188  0.2500  0.1773 [2 per cell]  7 Ir 2.93-3.06
Y  0.3820  0.2500  0.6752 [2 per cell]  7 Ir 2.92-3.06
Ir  0.1317  0.7500  0.4622 [2 per cell]  2 Ir 2.64, 1 Y 2.92
Ir  0.3697  0.7500  0.9623 [2 per cell]  2 Ir 2.63, 1 Gd 2.93

Entry 15:
Entry from the Open Quantum Materials Database: a relaxed KCuPdW crystal (PBE).

Values from the calculation:
magnetic moment: 1.583 μB/f.u.
ΔE to the lowest computed polymorph: 0.0 meV/atom
crystal system: cubic

Lattice parameters (Å, degrees): 6.6598 6.6598 6.6598 90.00 90.00 90.00
With the nearest neighbours (Å) after each atom.
Space group F-43m (No. 216)
Inequivalent atoms, fractional coordinates:
K  0.0000  0.0000  0.0000 [4 per cell]  4 Cu 2.88, 4 Pd 2.88
Cu  0.2500  0.2500  0.7500 [4 per cell]  4 W 2.88, 4 K 2.88
Pd  0.2500  0.2500  0.2500 [4 per cell]  4 W 2.88, 4 K 2.88
W  0.0000  0.0000  0.5000 [4 per cell]  4 Cu 2.88, 4 Pd 2.88

Entry 16:
Entry from the Open Quantum Materials Database: a relaxed BaGdMgTe3 crystal (PBE).

Values from the calculation:
magnetic moment: 0.611 μB/f.u.
total energy: -4.179 eV/atom
crystal system: orthorhombic

Lattice parameters (Å, degrees): 4.4992 15.6394 11.6013 90.00 90.00 90.00
With the nearest neighbours (Å) after each atom.
Space group Cmcm (No. 63)
Inequivalent atoms, fractional coordinates:
Ba  0.0000  0.2418  0.2500 [4 per cell]  6 Te 3.56-3.58
Gd  0.0000  0.0000  0.0000 [4 per cell]  6 Te 3.16-3.18
Mg  0.0000  0.4708  0.7500 [4 per cell]  4 Te 2.79-2.83
Te  0.0000  0.0803  0.7500 [4 per cell]  2 Mg 2.83, 2 Gd 3.16
Te  0.0000  0.3627  0.5584 [8 per cell]  1 Mg 2.79

Entry 17:
Entry from the Open Quantum Materials Database: a relaxed Na2Th2Sn crystal (PBE).

Values from the calculation:
magnetic moment: 0.012 μB/f.u.
total energy: -3.463 eV/atom
crystal system: orthorhombic

Lattice parameters (Å, degrees): 7.9820 10.1168 15.9213 90.00 90.00 90.00
With the nearest neighbours (Å) after each atom.
Space group Fddd (No. 70, origin choice 2)
Inequivalent atoms, fractional coordinates:
Na  0.0000  0.0000  0.0000 [16 per cell]  2 Sn 2.56
Th  0.1250  0.1250  0.4593 [16 per cell]  4 Na 3.31-3.70, 2 Th 3.47, 2 Sn 3.49
Sn  0.1250  0.1250  0.1250 [8 per cell]  4 Na 2.56

Entry 18:
Entry from the Open Quantum Materials Database: a relaxed InFeIrPt crystal (PBE).

Values from the calculation:
magnetic moment: 2.956 μB/f.u.
ΔE to the lowest computed polymorph: 0.0 meV/atom
crystal system: cubic

Lattice parameters (Å, degrees): 6.3267 6.3267 6.3267 90.00 90.00 90.00
With the nearest neighbours (Å) after each atom.
Space group F-43m (No. 216)
Inequivalent atoms, fractional coordinates:
In  0.0000  0.0000  0.0000 [4 per cell]  4 Ir 2.74, 4 Fe 2.74
Fe  0.2500  0.2500  0.2500 [4 per cell]  4 In 2.74, 4 Pt 2.74
Ir  0.2500  0.2500  0.7500 [4 per cell]  4 Pt 2.74, 4 In 2.74
Pt  0.0000  0.0000  0.5000 [4 per cell]  4 Fe 2.74, 4 Ir 2.74

Entry 19:
Entry from the Open Quantum Materials Database: a relaxed NbCuNi crystal (PBE).

Values from the calculation:
magnetic moment: 0.123 μB/f.u.
ΔE to the lowest computed polymorph: 0.0 meV/atom
energy of formation: 27 kJ/mol of atoms
crystal system: cubic

Lattice parameters (Å, degrees): 5.6868 5.6868 5.6868 90.00 90.00 90.00
With the nearest neighbours (Å) after each atom.
Space group F-43m (No. 216)
Inequivalent atoms, fractional coordinates:
Nb  0.0000  0.0000  0.0000 [4 per cell]  4 Ni 2.46
Cu  0.0000  0.0000  0.5000 [4 per cell]  4 Ni 2.46
Ni  0.2500  0.2500  0.7500 [4 per cell]  4 Nb 2.46, 4 Cu 2.46

Entry 20:
Entry from the Open Quantum Materials Database: a relaxed YHf2Tl crystal (PBE).

Values from the calculation:
magnetic moment: 0.005 μB/f.u.
total energy: -6.996 eV/atom
crystal system: cubic

Lattice parameters (Å, degrees): 7.2447 7.2447 7.2447 90.00 90.00 90.00
With the nearest neighbours (Å) after each atom.
Space group F-43m (No. 216)
Inequivalent atoms, fractional coordinates:
Y  0.0000  0.0000  0.0000 [4 per cell]  4 Tl 3.14, 4 Hf 3.14
Hf  0.0000  0.0000  0.5000 [4 per cell]  4 Hf 3.14, 4 Tl 3.14
Hf  0.2500  0.2500  0.2500 [4 per cell]  4 Hf 3.14, 4 Y 3.14
Tl  0.2500  0.2500  0.7500 [4 per cell]  4 Hf 3.14, 4 Y 3.14